Entry from Alexandria via LeMat-Bulk: Li6GePd12 after structural relaxation (GGA-PBE).

abc: 9.2036 9.2036 11.3273
angles: 90.00 90.00 120.00
Space group R-3 (No. 148, hexagonal axes)
One atom of each set of equivalent atoms:
1 Li 0.0133 0.5889 0.2063 x18
2 Ge 0.0000 0.0000 0.5000 x3
3 Pd 0.0219 0.8371 0.3282 x18
4 Pd 0.0557 0.2057 0.9061 x18

Properties
Its total magnetization is 0.000 μB/cell. The formation energy is -0.288 eV/atom. As for the energy: -251.67 eV per cell.